1.
Compound: HfCdPd4
Source: Alexandria
Functional: PBE-GGA
Structure: optimized geometry

Cell: 3.9139 3.9139 7.7311 Å, 90.00 90.00 90.00°
Closest atoms and distances in Å follow each position.
Space group P4/mmm (No. 123)
Symmetry-distinct sites (fractional):
Hf 0.0000 0.0000 0.0000 x1  8 Pd 2.69
Cd 0.5000 0.5000 0.5000 x1  8 Pd 2.82
Pd 0.0000 0.5000 0.2380 x4  2 Hf 2.69, 4 Pd 2.77, 2 Cd 2.82

Results
Energy relative to the elements   -2.23 eV/f.u.
Total magnetic moment   0.0 μB per formula unit
Final energy   -5.6451 eV per atom

***

2.
Compound: Ba8Sb3I4F
Source: Alexandria
Functional: PBE-GGA
Structure: optimized geometry

Cell: 9.8624 9.8624 24.8379 Å, 90.00 90.00 120.00°
Closest atoms and distances in Å follow each position.
Space group R-3m (No. 166, hexagonal axes)
Symmetry-distinct sites (fractional):
Ba 0.0000 0.0000 0.2423 x6  3 Sb 3.41, 3 I 3.64
Ba 0.0046 0.5023 0.2391 x18  1 F 3.34, 2 Sb 3.39, 3 I 3.67-3.72
Sb 0.0000 0.5000 0.5000 x9  6 Ba 3.39-3.41
I 0.0000 0.0000 0.0000 x3  6 Ba 3.72
I 0.0000 0.5000 0.0000 x9  6 Ba 3.64-3.67
F 0.0000 0.0000 0.5000 x3  6 Ba 3.34

Results
Total magnetic moment   0.0 μB per formula unit
Final energy   -3.7316 eV per atom
Energy relative to the elements, uncorrected   -144.0 kJ/mol of atoms

***

3.
Compound: CeDy12Th5
Source: Alexandria
Functional: PBE-GGA
Structure: optimized geometry

Cell: 18.4611 10.6119 6.1683 Å, 90.00 109.22 90.00°
Closest atoms and distances in Å follow each position.
Space group C2/m (No. 12)
Symmetry-distinct sites (fractional):
Ce 0.0000 0.0000 0.0000 x2  2 Th 3.54, 10 Dy 3.54-3.56
Dy 0.0000 0.1646 0.5000 x4  7 Dy 3.49-3.58, 3 Th 3.54-3.56, 2 Ce 3.54
Dy 0.0000 0.3358 0.0000 x4  7 Dy 3.48-3.59, 4 Th 3.54-3.55, 1 Ce 3.56
Dy 0.1668 0.1647 0.3354 x8  7 Dy 3.50-3.59, 4 Th 3.54-3.56, 1 Ce 3.55
Dy 0.1666 0.3350 0.8336 x8  7 Dy 3.50-3.58, 5 Th 3.54-3.55
Th 0.0000 0.5000 0.5000 x2  10 Dy 3.54-3.56, 2 Th 3.55
Th 0.1663 0.0000 0.8339 x4  10 Dy 3.54-3.55, 1 Ce 3.54, 1 Th 3.56
Th 0.1668 0.5000 0.3331 x4  10 Dy 3.54-3.56, 2 Th 3.55-3.56

Results
Energy relative to the elements   1.02 eV/f.u.
Total magnetic moment   1.2 μB per formula unit
Final energy   -5.4024 eV per atom

***

4.
Compound: Li2ZrNpO6
Source: Alexandria
Functional: PBE-GGA
Structure: optimized geometry

Cell: 5.3699 5.3699 14.5434 Å, 90.00 90.00 120.00°
Closest atoms and distances in Å follow each position.
Space group R3 (No. 146, hexagonal axes)
Symmetry-distinct sites (fractional):
Li 0.0000 0.0000 0.0000 x3  3 O 2.03
Li 0.0000 0.0000 0.4899 x3  3 O 2.05
Zr 0.0000 0.0000 0.2758 x3  6 O 2.10-2.15
Np 0.0000 0.0000 0.7787 x3  6 O 2.07-2.08
O 0.0088 0.3699 0.0354 x9  1 Li 2.03, 1 Np 2.07, 1 Zr 2.15
O 0.0154 0.6450 0.5327 x9  1 Li 2.05, 1 Np 2.08, 1 Zr 2.10

Results
Total magnetic moment   1.0 μB per formula unit
Final energy   -8.2548 eV per atom
Energy relative to the elements, uncorrected   -265.2 kJ/mol of atoms

***

Which of these has the lowest final energy?
Li2ZrNpO6

***

total magnetic moment of number 4 (Li2ZrNpO6)?
1.0 μB per formula unit

***

Which formula does entry 1 have?
HfCdPd4

***

Look up the total magnetic moment of the first one.
0.0 μB per formula unit